Record 1
# Ga2GeCS PBE relaxed
data_Ga2GeCS
_cell_length_a 4.296
_cell_length_b 4.296
_cell_length_c 4.687
_cell_angle_alpha 90.00
_cell_angle_beta 90.00
_cell_angle_gamma 90.00
_space_group_name_H-M_alt 'P 4/m m m'
_space_group_IT_number 123
_space_group_name_Hall '-P 4 2'
loop_
_atom_site_label
_atom_site_type_symbol
_atom_site_fract_x
_atom_site_fract_y
_atom_site_fract_z
Ga1 Ga 0.000 0.500 0.000
Ge1 Ge 0.000 0.000 0.500
C1 C 0.000 0.000 0.000
S1 S 0.500 0.500 0.500
# formation energy (no corrections) = 0.676 eV/atom

Record 2
# Ca2PmIr PBE relaxed
data_Ca2PmIr
_cell_length_a 7.637
_cell_length_b 9.514
_cell_length_c 6.487
_cell_angle_alpha 90.00
_cell_angle_beta 90.00
_cell_angle_gamma 90.00
_space_group_name_H-M_alt 'P n m a'
_space_group_IT_number 62
_space_group_name_Hall '-P 2ac 2n'
loop_
_atom_site_label
_atom_site_type_symbol
_atom_site_fract_x
_atom_site_fract_y
_atom_site_fract_z
Ca1 Ca 0.171 0.065 0.159
Pm1 Pm 0.041 0.250 0.639
Ir1 Ir 0.125 0.750 0.973
# energy above the lowest structure with this stoichiometry = 1.6 kJ per mole of atoms

Record 3
# Ba2NaTlF PBE relaxed
data_Ba2NaTlF
_cell_length_a 5.814
_cell_length_b 5.814
_cell_length_c 4.746
_cell_angle_alpha 90.00
_cell_angle_beta 90.00
_cell_angle_gamma 90.00
_space_group_name_H-M_alt 'P 4/m m m'
_space_group_IT_number 123
_space_group_name_Hall '-P 4 2'
loop_
_atom_site_label
_atom_site_type_symbol
_atom_site_fract_x
_atom_site_fract_y
_atom_site_fract_z
Ba1 Ba 0.000 0.500 0.000
Na1 Na 0.000 0.000 0.500
Tl1 Tl 0.500 0.500 0.500
F1 F 0.000 0.000 0.000
# formation energy (no corrections) = -1.255 eV/atom

Record 4
# Fe3AgC PBE relaxed
data_Fe3AgC
_cell_length_a 3.903
_cell_length_b 3.903
_cell_length_c 3.903
_cell_angle_alpha 90.00
_cell_angle_beta 90.00
_cell_angle_gamma 90.00
_space_group_name_H-M_alt 'P m -3 m'
_space_group_IT_number 221
_space_group_name_Hall '-P 4 2 3'
loop_
_atom_site_label
_atom_site_type_symbol
_atom_site_fract_x
_atom_site_fract_y
_atom_site_fract_z
Fe1 Fe 0.000 0.000 0.500
Ag1 Ag 0.500 0.500 0.500
C1 C 0.000 0.000 0.000
# energy above the lowest structure with this stoichiometry = 0.0 kJ per mole of atoms

Record 5
# MgCuI2O8 PBE relaxed
data_MgCuI2O8
_cell_length_a 6.836
_cell_length_b 6.836
_cell_length_c 6.902
_cell_angle_alpha 90.00
_cell_angle_beta 90.00
_cell_angle_gamma 90.00
_space_group_name_H-M_alt 'I -4 m 2'
_space_group_IT_number 119
_space_group_name_Hall 'I -4 -2'
loop_
_atom_site_label
_atom_site_type_symbol
_atom_site_fract_x
_atom_site_fract_y
_atom_site_fract_z
Mg1 Mg 0.000 0.000 0.000
Cu1 Cu 0.000 0.500 0.250
I1 I 0.000 0.000 0.500
I2 I 0.000 0.500 0.750
O1 O 0.000 0.206 0.316
O2 O 0.000 0.297 0.927
# formation energy (no corrections) = -0.425 eV/atom

Record 6
# Cs3Rb3VCl8 PBE relaxed
data_Cs3Rb3VCl8
_cell_length_a 9.3527
_cell_length_b 9.3527
_cell_length_c 23.6996
_cell_angle_alpha 90.00
_cell_angle_beta 90.00
_cell_angle_gamma 120.00
_space_group_name_H-M_alt 'R -3 m'
_space_group_IT_number 166
_space_group_name_Hall '-R 3 2"'
loop_
_atom_site_label
_atom_site_type_symbol
_atom_site_fract_x
_atom_site_fract_y
_atom_site_fract_z
Cs1 Cs 0.0000 0.5000 0.0000
Rb1 Rb 0.0000 0.5000 0.5000
V1 V 0.0000 0.0000 0.5000
Cl1 Cl 0.0000 0.0000 0.2446
Cl2 Cl 0.0720 0.5360 0.2285
# formation energy (no corrections) = -1.774 eV/atom

Record 7
# Dy2PuMg PBE relaxed
data_Dy2PuMg
_cell_length_a 5.550
_cell_length_b 5.550
_cell_length_c 3.614
_cell_angle_alpha 90.00
_cell_angle_beta 90.00
_cell_angle_gamma 90.00
_space_group_name_H-M_alt 'P 4/m m m'
_space_group_IT_number 123
_space_group_name_Hall '-P 4 2'
loop_
_atom_site_label
_atom_site_type_symbol
_atom_site_fract_x
_atom_site_fract_y
_atom_site_fract_z
Dy1 Dy 0.000 0.500 0.000
Pu1 Pu 0.000 0.000 0.500
Mg1 Mg 0.500 0.500 0.500
# energy above the lowest structure with this stoichiometry = 4.1 kJ per mole of atoms

Record 8
# ZrCuSb2Br PBE relaxed
data_ZrCuSb2Br
_cell_length_a 5.081
_cell_length_b 5.081
_cell_length_c 4.877
_cell_angle_alpha 90.00
_cell_angle_beta 90.00
_cell_angle_gamma 90.00
_space_group_name_H-M_alt 'P 4/m m m'
_space_group_IT_number 123
_space_group_name_Hall '-P 4 2'
loop_
_atom_site_label
_atom_site_type_symbol
_atom_site_fract_x
_atom_site_fract_y
_atom_site_fract_z
Zr1 Zr 0.000 0.000 0.000
Cu1 Cu 0.500 0.500 0.500
Sb1 Sb 0.000 0.500 0.500
Br1 Br 0.500 0.500 0.000
# formation energy (no corrections) = 0.407 eV/atom

Record 9
# Mg2Cd2Ag7 PBE relaxed
data_Mg2Cd2Ag7
_cell_length_a 4.526
_cell_length_b 13.344
_cell_length_c 6.965
_cell_angle_alpha 90.00
_cell_angle_beta 90.00
_cell_angle_gamma 90.00
_space_group_name_H-M_alt 'I m m 2'
_space_group_IT_number 44
_space_group_name_Hall 'I 2 -2'
loop_
_atom_site_label
_atom_site_type_symbol
_atom_site_fract_x
_atom_site_fract_y
_atom_site_fract_z
Mg1 Mg 0.000 0.204 0.000
Cd1 Cd 0.000 0.000 0.793
Cd2 Cd 0.000 0.500 0.992
Ag1 Ag 0.000 0.000 0.205
Ag2 Ag 0.000 0.161 0.495
Ag3 Ag 0.000 0.354 0.288
Ag4 Ag 0.000 0.355 0.703
# energy above the lowest structure with this stoichiometry = 0.0 kJ per mole of atoms

Record 10
# CeSm6DyEr2 PBE relaxed
data_CeSm6DyEr2
_cell_length_a 11.351
_cell_length_b 6.923
_cell_length_c 8.836
_cell_angle_alpha 90.00
_cell_angle_beta 104.49
_cell_angle_gamma 90.00
_space_group_name_H-M_alt 'C 1 2/m 1'
_space_group_IT_number 12
_space_group_name_Hall '-C 2y'
loop_
_atom_site_label
_atom_site_type_symbol
_atom_site_fract_x
_atom_site_fract_y
_atom_site_fract_z
Ce1 Ce 0.000 0.000 0.000
Sm1 Sm 0.127 0.000 0.418
Sm2 Sm 0.171 0.264 0.800
Dy1 Dy 0.000 0.500 0.500
Er1 Er 0.090 0.500 0.167
# DFT total energy = -4.5496 eV per atom

Record 11
# BaInP2 PBE relaxed
data_BaInP2
_cell_length_a 3.489
_cell_length_b 5.694
_cell_length_c 10.187
_cell_angle_alpha 90.00
_cell_angle_beta 90.00
_cell_angle_gamma 90.00
_space_group_name_H-M_alt 'I m m 2'
_space_group_IT_number 44
_space_group_name_Hall 'I 2 -2'
loop_
_atom_site_label
_atom_site_type_symbol
_atom_site_fract_x
_atom_site_fract_y
_atom_site_fract_z
Ba1 Ba 0.000 0.000 0.000
In1 In 0.000 0.500 0.796
P1 P 0.000 0.000 0.542
P2 P 0.000 0.500 0.195
# DFT total energy = -4.1218 eV per atom

Record 12
# CaPaPd2O8 PBE relaxed
data_CaPaPd2O8
_cell_length_a 5.236
_cell_length_b 5.236
_cell_length_c 10.449
_cell_angle_alpha 90.00
_cell_angle_beta 90.00
_cell_angle_gamma 90.00
_space_group_name_H-M_alt 'I -4 m 2'
_space_group_IT_number 119
_space_group_name_Hall 'I -4 -2'
loop_
_atom_site_label
_atom_site_type_symbol
_atom_site_fract_x
_atom_site_fract_y
_atom_site_fract_z
Ca1 Ca 0.000 0.000 0.000
Pa1 Pa 0.000 0.500 0.250
Pd1 Pd 0.000 0.000 0.500
Pd2 Pd 0.000 0.500 0.750
O1 O 0.231 0.244 0.628
# formation energy (no corrections) = -1.399 eV/atom

Record 13
# Mn2GeAu PBE relaxed
data_Mn2GeAu
_cell_length_a 2.858
_cell_length_b 2.858
_cell_length_c 7.298
_cell_angle_alpha 90.00
_cell_angle_beta 90.00
_cell_angle_gamma 90.00
_space_group_name_H-M_alt 'P 4/m m m'
_space_group_IT_number 123
_space_group_name_Hall '-P 4 2'
loop_
_atom_site_label
_atom_site_type_symbol
_atom_site_fract_x
_atom_site_fract_y
_atom_site_fract_z
Mn1 Mn 0.000 0.000 0.229
Ge1 Ge 0.500 0.500 0.000
Au1 Au 0.500 0.500 0.500
# DFT total energy = -6.4797 eV per atom

Record 14
# HoTl3Se3 PBE relaxed
data_HoTl3Se3
_cell_length_a 9.035
_cell_length_b 4.217
_cell_length_c 12.337
_cell_angle_alpha 90.00
_cell_angle_beta 93.66
_cell_angle_gamma 90.00
_space_group_name_H-M_alt 'P 1 21/m 1'
_space_group_IT_number 11
_space_group_name_Hall '-P 2yb'
loop_
_atom_site_label
_atom_site_type_symbol
_atom_site_fract_x
_atom_site_fract_y
_atom_site_fract_z
Ho1 Ho 0.112 0.250 0.383
Tl1 Tl 0.147 0.250 0.878
Tl2 Tl 0.335 0.750 0.146
Tl3 Tl 0.387 0.750 0.638
Se1 Se 0.094 0.250 0.151
Se2 Se 0.106 0.250 0.616
Se3 Se 0.330 0.750 0.392
# formation energy (no corrections) = -0.955 eV/atom

Record 15
# Be2ReBr PBE relaxed
data_Be2ReBr
_cell_length_a 3.196
_cell_length_b 4.824
_cell_length_c 7.504
_cell_angle_alpha 90.00
_cell_angle_beta 90.00
_cell_angle_gamma 90.00
_space_group_name_H-M_alt 'C m m m'
_space_group_IT_number 65
_space_group_name_Hall '-C 2 2'
loop_
_atom_site_label
_atom_site_type_symbol
_atom_site_fract_x
_atom_site_fract_y
_atom_site_fract_z
Be1 Be 0.000 0.000 0.222
Re1 Re 0.000 0.500 0.000
Br1 Br 0.000 0.500 0.500
# formation energy (no corrections) = 0.544 eV/atom
# energy above the lowest structure with this stoichiometry = 15.6 kJ per mole of atoms

Record 16
# MgZrSi PBE relaxed
data_MgZrSi
_cell_length_a 3.842
_cell_length_b 4.424
_cell_length_c 13.196
_cell_angle_alpha 90.00
_cell_angle_beta 90.00
_cell_angle_gamma 90.00
_space_group_name_H-M_alt 'A m m 2'
_space_group_IT_number 38
_space_group_name_Hall 'A 2 -2'
loop_
_atom_site_label
_atom_site_type_symbol
_atom_site_fract_x
_atom_site_fract_y
_atom_site_fract_z
Mg1 Mg 0.000 0.000 0.000
Mg2 Mg 0.500 0.000 0.177
Zr1 Zr 0.500 0.000 0.524
Zr2 Zr 0.500 0.000 0.819
Si1 Si 0.000 0.000 0.363
Si2 Si 0.000 0.000 0.668
# formation energy (no corrections) = -0.345 eV/atom

Record 17
# Ba2Sn4Pt3Au PBE relaxed
data_Ba2Sn4Pt3Au
_cell_length_a 4.823
_cell_length_b 4.823
_cell_length_c 10.845
_cell_angle_alpha 90.00
_cell_angle_beta 90.00
_cell_angle_gamma 90.00
_space_group_name_H-M_alt 'P -4 m 2'
_space_group_IT_number 115
_space_group_name_Hall 'P -4 -2'
loop_
_atom_site_label
_atom_site_type_symbol
_atom_site_fract_x
_atom_site_fract_y
_atom_site_fract_z
Ba1 Ba 0.000 0.500 0.247
Sn1 Sn 0.000 0.000 0.500
Sn2 Sn 0.000 0.500 0.873
Sn3 Sn 0.500 0.500 0.500
Pt1 Pt 0.000 0.000 0.000
Pt2 Pt 0.000 0.500 0.623
Au1 Au 0.500 0.500 0.000
# DFT total energy = -4.8777 eV per atom

Record 18
# SmYBeCd PBE relaxed
data_SmYBeCd
_cell_length_a 7.290
_cell_length_b 7.290
_cell_length_c 7.290
_cell_angle_alpha 90.00
_cell_angle_beta 90.00
_cell_angle_gamma 90.00
_space_group_name_H-M_alt 'F -4 3 m'
_space_group_IT_number 216
_space_group_name_Hall 'F -4 2 3'
loop_
_atom_site_label
_atom_site_type_symbol
_atom_site_fract_x
_atom_site_fract_y
_atom_site_fract_z
Sm1 Sm 0.000 0.000 0.000
Y1 Y 0.000 0.000 0.500
Be1 Be 0.250 0.250 0.250
Cd1 Cd 0.250 0.250 0.750
# DFT total energy = -3.9900 eV per atom

Record 19
# TcSnPt PBE relaxed
data_TcSnPt
_cell_length_a 3.0332
_cell_length_b 3.0332
_cell_length_c 13.0484
_cell_angle_alpha 90.00
_cell_angle_beta 90.00
_cell_angle_gamma 120.00
_space_group_name_H-M_alt 'P -6 m 2'
_space_group_IT_number 187
_space_group_name_Hall 'P -6 2'
loop_
_atom_site_label
_atom_site_type_symbol
_atom_site_fract_x
_atom_site_fract_y
_atom_site_fract_z
Tc1 Tc 0.0000 0.0000 0.0000
Tc2 Tc 0.0000 0.0000 0.5000
Sn1 Sn 0.6667 0.3333 0.1647
Pt1 Pt 0.3333 0.6667 0.3424
# DFT total energy = -6.6723 eV per atom

Record 20
# ZnPt2Cl PBE relaxed
data_ZnPt2Cl
_cell_length_a 6.345
_cell_length_b 6.345
_cell_length_c 6.345
_cell_angle_alpha 90.00
_cell_angle_beta 90.00
_cell_angle_gamma 90.00
_space_group_name_H-M_alt 'F m -3 m'
_space_group_IT_number 225
_space_group_name_Hall '-F 4 2 3'
loop_
_atom_site_label
_atom_site_type_symbol
_atom_site_fract_x
_atom_site_fract_y
_atom_site_fract_z
Zn1 Zn 0.000 0.000 0.000
Pt1 Pt 0.250 0.250 0.250
Cl1 Cl 0.000 0.000 0.500
# formation energy (no corrections) = 0.329 eV/atom
# energy above the lowest structure with this stoichiometry = 39.9 kJ per mole of atoms

Record 21
# RbLiSc3 PBE relaxed
data_RbLiSc3
_cell_length_a 5.225
_cell_length_b 5.225
_cell_length_c 5.225
_cell_angle_alpha 90.00
_cell_angle_beta 90.00
_cell_angle_gamma 90.00
_space_group_name_H-M_alt 'P m -3 m'
_space_group_IT_number 221
_space_group_name_Hall '-P 4 2 3'
loop_
_atom_site_label
_atom_site_type_symbol
_atom_site_fract_x
_atom_site_fract_y
_atom_site_fract_z
Rb1 Rb 0.000 0.000 0.000
Li1 Li 0.500 0.500 0.500
Sc1 Sc 0.000 0.000 0.500
# energy above the lowest structure with this stoichiometry = 64.8 kJ per mole of atoms

Record 22
# Ce2ScCu PBE relaxed
data_Ce2ScCu
_cell_length_a 3.0615
_cell_length_b 3.0615
_cell_length_c 32.8948
_cell_angle_alpha 90.00
_cell_angle_beta 90.00
_cell_angle_gamma 120.00
_space_group_name_H-M_alt 'R -3 m'
_space_group_IT_number 166
_space_group_name_Hall '-R 3 2"'
loop_
_atom_site_label
_atom_site_type_symbol
_atom_site_fract_x
_atom_site_fract_y
_atom_site_fract_z
Ce1 Ce 0.0000 0.0000 0.0916
Sc1 Sc 0.0000 0.0000 0.0000
Cu1 Cu 0.0000 0.0000 0.5000
# energy above the lowest structure with this stoichiometry = 12.8 kJ per mole of atoms

Record 23
# Pr6SiGe2Te3 PBE relaxed
data_Pr6SiGe2Te3
_cell_length_a 19.502
_cell_length_b 4.415
_cell_length_c 8.967
_cell_angle_alpha 90.00
_cell_angle_beta 104.83
_cell_angle_gamma 90.00
_space_group_name_H-M_alt 'C 1 2/m 1'
_space_group_IT_number 12
_space_group_name_Hall '-C 2y'
loop_
_atom_site_label
_atom_site_type_symbol
_atom_site_fract_x
_atom_site_fract_y
_atom_site_fract_z
Pr1 Pr 0.005 0.000 0.235
Pr2 Pr 0.161 0.500 0.096
Pr3 Pr 0.172 0.500 0.570
Si1 Si 0.000 0.500 0.000
Ge1 Ge 0.167 0.000 0.333
Te1 Te 0.000 0.500 0.500
Te2 Te 0.167 0.000 0.833
# formation energy (no corrections) = -1.180 eV/atom

Record 24
# CsBe2SbCl PBE relaxed
data_CsBe2SbCl
_cell_length_a 5.583
_cell_length_b 5.583
_cell_length_c 5.464
_cell_angle_alpha 90.00
_cell_angle_beta 90.00
_cell_angle_gamma 90.00
_space_group_name_H-M_alt 'P 4/m m m'
_space_group_IT_number 123
_space_group_name_Hall '-P 4 2'
loop_
_atom_site_label
_atom_site_type_symbol
_atom_site_fract_x
_atom_site_fract_y
_atom_site_fract_z
Cs1 Cs 0.000 0.000 0.000
Be1 Be 0.000 0.500 0.500
Sb1 Sb 0.500 0.500 0.000
Cl1 Cl 0.500 0.500 0.500
# formation energy (no corrections) = 1.061 eV/atom

Record 25
# Zr3SnW PBE relaxed
data_Zr3SnW
_cell_length_a 5.162
_cell_length_b 5.162
_cell_length_c 5.162
_cell_angle_alpha 90.00
_cell_angle_beta 90.00
_cell_angle_gamma 90.00
_space_group_name_H-M_alt 'P m -3 m'
_space_group_IT_number 221
_space_group_name_Hall '-P 4 2 3'
loop_
_atom_site_label
_atom_site_type_symbol
_atom_site_fract_x
_atom_site_fract_y
_atom_site_fract_z
Zr1 Zr 0.000 0.000 0.500
Sn1 Sn 0.000 0.000 0.000
W1 W 0.500 0.500 0.500
# energy above the lowest structure with this stoichiometry = 88.8 kJ per mole of atoms